[1]
This record from Alexandria via LeMat-Bulk describes crystalline YBeCo at its relaxed geometry. The functional is PBE.

Geometry as POSCAR:
```
YBeCo
1.0
-2.517 2.611 3.407
2.517 -2.611 3.407
2.517 2.611 -3.407
Y Be Co
2 2 2
direct
0.380 0.130 0.250
0.620 0.870 0.750
0.000 0.000 0.500
0.000 0.500 0.000
0.000 0.500 0.500
0.500 0.500 0.000
```

Summary:
As for the density: 5.82 g cm⁻³. The formation energy comes out at -0.0760 eV per atom. As for the energy above the most stable polymorph in this dataset: 0.1510 eV per atom. The calculation puts the total moment at 0.000 μB per atom.


[2]
This record from Alexandria via LeMat-Bulk describes crystalline Y2Be15Co2 at its relaxed geometry. The functional is PBE.

Geometry as POSCAR:
```
Y2Be15Co2
1.0
3.900 2.252 3.759
-3.900 2.252 3.759
0.000 -4.504 3.759
Y Be Co
2 15 2
direct
0.158 0.158 0.158
0.842 0.842 0.842
0.000 0.500 0.500
0.166 0.166 0.649
0.166 0.649 0.166
0.226 0.500 0.774
0.226 0.774 0.500
0.351 0.834 0.834
0.500 0.000 0.500
0.500 0.226 0.774
0.500 0.500 0.000
0.500 0.774 0.226
0.649 0.166 0.166
0.774 0.226 0.500
0.774 0.500 0.226
0.834 0.351 0.834
0.834 0.834 0.351
0.399 0.399 0.399
0.601 0.601 0.601
```

Summary:
As for the density: 3.61 g cm⁻³. The formation energy comes out at -0.1831 eV per atom. The calculation puts the total moment at 0.000 μB per atom.


[3]
This record from Alexandria via LeMat-Bulk describes crystalline Y2Be2Co at its relaxed geometry. The functional is PBE.

Geometry as POSCAR:
```
Y2Be2Co
1.0
6.600 0.000 0.000
0.000 6.600 0.000
0.000 0.000 4.027
Y Be Co
4 4 2
direct
0.188 0.312 0.000
0.312 0.812 0.000
0.688 0.188 0.000
0.812 0.688 0.000
0.114 0.614 0.500
0.386 0.114 0.500
0.614 0.886 0.500
0.886 0.386 0.500
0.000 0.000 0.500
0.500 0.500 0.500
```

Summary:
As for the density: 4.82 g cm⁻³. The formation energy comes out at 0.1420 eV per atom. The calculation puts the total moment at 0.001 μB per atom.